KLi2Be2 | GGA-PBE | relaxed

Cell lengths 4.7134, 4.7134, 5.9319 Å; angles 66.59, 66.59, 90.00 degrees
Last column: nearest neighbours and their distance in Å.
Element x y z (fractional)
Be1 0.3908 0.3908 0.2183  1 Be 2.14
Be2 0.6092 0.6092 0.7817  1 Be 2.14
K1 0.0000 0.0000 0.0000  8 Li 3.40, 8 Be 3.50
Li1 0.7500 0.2500 0.5000  4 Be 2.73
Li2 0.2500 0.7500 0.5000  4 Be 2.73

Computed properties:
**Space group**: I4/mmm
**Formation enthalpy at 0 K**: 0.65 eV per atom

ScBiS2 | GGA-PBE | relaxed

Cell lengths 3.6820, 6.4413, 8.7008 Å; angles 97.09, 77.76, 90.00 degrees
Last column: nearest neighbours and their distance in Å.
Element x y z (fractional)
Sc1 0.5959 0.3891 0.0890  6 S 2.56-2.58
Sc2 0.0959 0.8891 0.0890  6 S 2.56-2.58
S1 0.1844 0.1932 0.9194  3 Sc 2.56-2.58, 1 Bi 2.80
S2 0.5145 0.0851 0.2586  3 Sc 2.56-2.58, 1 Bi 2.80
S3 0.0074 0.5851 0.2586  3 Sc 2.56-2.58, 1 Bi 2.80
S4 0.6773 0.6932 0.9194  3 Sc 2.56-2.58, 1 Bi 2.80
Bi1 0.7754 0.6393 0.5890  2 S 2.80
Bi2 0.4165 0.1392 0.5890  2 S 2.80

Computed properties:
**Space group**: C2/c
**Formation energy from raw total energies**: -1.2365 eV/atom

ScMn2Au | GGA-PBE | relaxed

Cell lengths 3.9613, 4.0381, 4.0381 Å; angles 90.00, 90.00, 90.00 degrees
Last column: nearest neighbours and their distance in Å.
Element x y z (fractional)
Au1 0.5000 0.0000 0.5000  8 Mn 2.83, 4 Sc 2.86
Mn1 0.0000 0.0000 0.0000  4 Sc 2.83, 4 Au 2.83, 4 Mn 2.86
Mn2 0.0000 0.5000 0.5000  4 Sc 2.83, 4 Au 2.83, 4 Mn 2.86
Sc1 0.5000 0.5000 0.0000  8 Mn 2.83, 4 Au 2.86

Computed properties:
**Space group**: P4/mmm
**Formation enthalpy at 0 K**: -0.12 eV per atom

NdSm2TlO | GGA-PBE | relaxed

Cell lengths 4.9947, 4.9128, 4.9128 Å; angles 90.00, 90.00, 90.00 degrees
Last column: nearest neighbours and their distance in Å.
Element x y z (fractional)
Nd1 0.5000 0.0000 0.0000  2 O 2.50
Sm1 0.0000 0.0000 0.5000  2 O 2.46
Sm2 0.0000 0.5000 0.0000  2 O 2.46
Tl1 0.5000 0.5000 0.5000  4 Nd 3.47, 8 Sm 3.50
O1 0.0000 0.0000 0.0000  4 Sm 2.46, 2 Nd 2.50

Computed properties:
**Space group**: P4/mmm
**Formation energy from raw total energies**: -1.3545 eV/atom

Question: Number 4 is which compound?
Answer: NdSm2TlO

Question: What is the formula in the fourth record?
Answer: NdSm2TlO